Compound: HgB2As
Source: Alexandria via LeMat-Bulk
Functional: PBE
Structure: relaxed

Summary:
Its relative energy among the computed polymorphs is 0.000 eV/atom. For the formation energy, the calculation gives 0.7883 eV/atom.

extended XYZ file:
```
8
Lattice="-2.616 2.616 4.657 2.616 -2.616 4.657 2.616 2.616 -4.657" Properties=species:S:1:pos:R:3 pbc="T T T"
Hg 0.000 0.000 0.000
Hg 0.000 2.616 2.328
B 1.308 -1.086 3.493
B 1.530 1.308 1.164
B 1.308 3.703 -1.164
B 1.086 1.308 5.821
As 2.616 0.000 2.328
As 0.000 0.000 4.657
```

***

Compound: HgB3As
Source: Alexandria via LeMat-Bulk
Functional: PBE
Structure: relaxed

Summary:
Its relative energy among the computed polymorphs is 0.487 eV/atom. For the formation energy, the calculation gives 2.3057 eV/atom.

extended XYZ file:
```
5
Lattice="4.370 0.000 0.000 0.000 4.370 0.000 0.000 0.000 4.370" Properties=species:S:1:pos:R:3 pbc="T T T"
Hg 0.000 0.000 0.000
B 0.000 0.000 2.185
B 0.000 2.185 0.000
B 2.185 0.000 0.000
As 2.185 2.185 2.185
```

***

Compound: HgB3As
Source: Alexandria via LeMat-Bulk
Functional: PBE
Structure: relaxed

Summary:
Its relative energy among the computed polymorphs is 0.000 eV/atom. For the formation energy, the calculation gives 1.8182 eV/atom.

extended XYZ file:
```
5
Lattice="4.211 0.000 0.000 0.000 4.211 0.000 0.000 0.000 4.211" Properties=species:S:1:pos:R:3 pbc="T T T"
Hg 0.000 0.000 0.000
B 0.000 2.106 2.106
B 2.106 0.000 2.106
B 2.106 2.106 0.000
As 2.106 2.106 2.106
```

***

Compound: Hg2BAs
Source: Alexandria via LeMat-Bulk
Functional: PBE
Structure: relaxed

Summary:
Its relative energy among the computed polymorphs is 0.252 eV/atom. For the formation energy, the calculation gives 1.1451 eV/atom.

extended XYZ file:
```
4
Lattice="0.000 3.405 3.405 3.405 0.000 3.405 3.405 3.405 0.000" Properties=species:S:1:pos:R:3 pbc="T T T"
Hg 1.703 1.703 1.703
Hg 5.108 5.108 5.108
B 0.000 0.000 0.000
As 3.405 3.405 3.405
```

***

Compound: HgBAs2
Source: Alexandria via LeMat-Bulk
Functional: PBE
Structure: relaxed

Summary:
Its relative energy among the computed polymorphs is 0.000 eV/atom. For the formation energy, the calculation gives 0.2589 eV/atom.

extended XYZ file:
```
8
Lattice="-2.826 2.826 5.052 2.826 -2.826 5.052 2.826 2.826 -5.052" Properties=species:S:1:pos:R:3 pbc="T T T"
Hg 0.000 0.000 0.000
Hg 0.000 2.826 2.526
B 2.826 0.000 2.526
B 0.000 0.000 5.052
As 1.413 -0.956 3.789
As 1.870 1.413 1.263
As 1.413 3.781 -1.263
As 0.956 1.413 6.315
```

***

Compound: HgBAs3
Source: Alexandria via LeMat-Bulk
Functional: PBE
Structure: relaxed

Summary:
Its relative energy among the computed polymorphs is 0.000 eV/atom. For the formation energy, the calculation gives 0.7908 eV/atom.

extended XYZ file:
```
5
Lattice="4.519 0.000 0.000 0.000 4.519 0.000 0.000 0.000 4.519" Properties=species:S:1:pos:R:3 pbc="T T T"
Hg 0.000 0.000 0.000
B 2.259 2.259 2.259
As 0.000 2.259 2.259
As 2.259 0.000 2.259
As 2.259 2.259 0.000
```

***

Compound: HgB2As
Source: Alexandria via LeMat-Bulk
Functional: PBE
Structure: relaxed

Summary:
Its relative energy among the computed polymorphs is 0.926 eV/atom. For the formation energy, the calculation gives 1.7143 eV/atom.

extended XYZ file:
```
4
Lattice="0.000 3.089 3.089 3.089 0.000 3.089 3.089 3.089 0.000" Properties=species:S:1:pos:R:3 pbc="T T T"
Hg 0.000 0.000 0.000
B 1.544 1.544 1.544
B 4.633 4.633 4.633
As 3.089 3.089 3.089
```

***

Compound: LiHgB2As
Source: Alexandria via LeMat-Bulk
Functional: PBE
Structure: relaxed

Summary:
For the formation energy, the calculation gives 1.2128 eV/atom.

extended XYZ file:
```
5
Lattice="4.042 0.000 0.000 0.000 4.042 0.000 0.000 0.000 6.350" Properties=species:S:1:pos:R:3 pbc="T T T"
Li 0.000 0.000 0.000
Hg 2.021 2.021 0.000
B 0.000 2.021 3.175
B 2.021 0.000 3.175
As 2.021 2.021 3.175
```

***

Compound: NbHg2BAs
Source: Alexandria via LeMat-Bulk
Functional: PBE
Structure: relaxed

Summary:
For the formation energy, the calculation gives 1.3744 eV/atom.

extended XYZ file:
```
5
Lattice="5.671 0.000 0.000 0.000 5.671 0.000 0.000 0.000 3.525" Properties=species:S:1:pos:R:3 pbc="T T T"
Nb 0.000 0.000 0.000
Hg 0.000 2.835 1.763
Hg 2.835 0.000 1.763
B 2.835 2.835 0.000
As 2.835 2.835 1.763
```

***

Compound: HgBAs2O8
Source: Alexandria via LeMat-Bulk
Functional: PBE
Structure: relaxed

Summary:
As for the uncorrected formation energy: -0.692 eV per atom.

extended XYZ file:
```
12
Lattice="5.200 0.000 0.000 -2.600 4.503 0.000 0.000 0.000 6.297" Properties=species:S:1:pos:R:3 pbc="T T T"
Hg 0.000 0.000 0.000
B 0.000 0.000 3.148
As 0.000 3.002 1.647
As 2.600 1.501 4.649
O 0.000 1.335 2.097
O -1.444 3.836 2.097
O 1.156 0.667 4.200
O 0.000 3.002 6.250
O 2.600 1.501 0.047
O 1.444 3.836 2.097
O 4.044 0.667 4.200
O 2.600 3.168 4.200
```

***

Compound: HgBAsSe2
Source: Alexandria via LeMat-Bulk
Functional: PBE
Structure: relaxed

Summary:
Its relative energy among the computed polymorphs is 0.000 eV/atom. As for the uncorrected formation energy: 0.700 eV per atom.

extended XYZ file:
```
5
Lattice="4.881 0.000 0.000 0.000 4.881 0.000 0.000 0.000 4.095" Properties=species:S:1:pos:R:3 pbc="T T T"
Hg 0.000 0.000 0.000
B 2.441 2.441 2.048
As 2.441 2.441 0.000
Se 0.000 2.441 2.048
Se 2.441 0.000 2.048
```

***

Compound: HgBAsSe2
Source: Alexandria via LeMat-Bulk
Functional: PBE
Structure: relaxed

Summary:
Its relative energy among the computed polymorphs is 0.983 eV/atom. As for the uncorrected formation energy: 1.684 eV per atom.

extended XYZ file:
```
5
Lattice="5.312 0.000 0.000 0.000 5.312 0.000 0.000 0.000 5.178" Properties=species:S:1:pos:R:3 pbc="T T T"
Hg 0.000 0.000 0.000
B 2.656 2.656 2.589
As 0.000 0.000 2.589
Se 0.000 2.656 0.000
Se 2.656 0.000 0.000
```

***

Number 1: uncorrected energy -0.2784 Ry/atom, Fermi-level density of states 3.9 states/eV per cell, total magnetization 0.0 μB/f.u.. Number 2: uncorrected energy -0.1978 Ry/atom, Fermi-level density of states 1.8 states/eV per cell, total magnetization 0.0 μB/f.u.. Number 3: uncorrected energy -0.2336 Ry/atom, Fermi-level density of states 2.0 states/eV per cell, total magnetization 0.0 μB/f.u.. Number 4: uncorrected energy -0.1351 Ry/atom, Fermi-level density of states 0.8 states/eV per cell, total magnetization 0.0 μB/f.u.. Number 5: uncorrected energy -0.2801 Ry/atom, Fermi-level density of states 3.7 states/eV per cell, total magnetization 0.0 μB/f.u.. Number 6: uncorrected energy -0.2495 Ry/atom, Fermi-level density of states 4.2 states/eV per cell, total magnetization 0.0 μB/f.u.. Number 7: uncorrected energy -0.2104 Ry/atom, Fermi-level density of states 2.1 states/eV per cell, total magnetization 0.0 μB/f.u.. Number 8: uncorrected energy -0.2081 Ry/atom, Fermi-level density of states 2.6 states/eV per cell, total magnetization 0.0 μB/f.u.. Number 9: uncorrected energy -0.2224 Ry/atom, Fermi-level density of states 2.5 states/eV per cell, total magnetization 2.5 μB/f.u.. Number 10: uncorrected energy -0.3935 Ry/atom, Fermi-level density of states 7.8 states/eV per cell, total magnetization 0.8 μB/f.u.. Number 11: uncorrected energy -0.2219 Ry/atom, Fermi-level density of states 3.6 states/eV per cell, total magnetization 0.0 μB/f.u.. Number 12: uncorrected energy -0.1496 Ry/atom, Fermi-level density of states 4.4 states/eV per cell, total magnetization 1.1 μB/f.u..